Record 1
BaCaSnHg PBE relaxed; electronic total energy = -2.676 eV/atom; Fermi-level density of states = 0.53 states/eV/f.u.; formation energy = -619 meV/atom; calculated volume = 33.4 A^3/atom; magnetization = 0.00 μB/atom; SG = F-43m, No. 216
1.0
0.000 4.059 4.059
4.059 0.000 4.059
4.059 4.059 0.000
Ba Ca Sn Hg
1 1 1 1
Direct
0.000 0.000 0.000
0.500 0.500 0.500
0.250 0.250 0.250
0.750 0.750 0.750


Record 2
BaSrCaHg PBE relaxed; electronic total energy = -1.743 eV/atom; Fermi-level density of states = 4.78 states/eV/f.u.; formation energy = -266 meV/atom; calculated volume = 42.3 A^3/atom; magnetization = 0.00 μB/atom; SG = P4mm, No. 99
1.0
4.088 0.000 0.000
0.000 4.088 0.000
0.000 0.000 10.135
Ba Sr Ca Hg
1 1 1 1
Direct
0.000 0.000 0.000
0.500 0.500 0.658
0.000 0.000 0.371
0.500 0.500 0.220


Record 3
BaSr2CaHg PBE relaxed; electronic total energy = -1.612 eV/atom; Fermi-level density of states = 5.75 states/eV/f.u.; formation energy = -94 meV/atom; calculated volume = 52.9 A^3/atom; magnetization = 0.00 μB/atom; SG = P4/mmm, No. 123
1.0
6.385 0.000 0.000
0.000 6.385 0.000
0.000 0.000 6.486
Ba Sr Ca Hg
1 2 1 1
Direct
0.000 0.000 0.000
0.000 0.500 0.500
0.500 0.000 0.500
0.500 0.500 0.000
0.000 0.000 0.500


Record 4
BaSr2CaHg4 PBE relaxed; electronic total energy = -1.582 eV/atom; Fermi-level density of states = 5.32 states/eV/f.u.; formation energy = -520 meV/atom; calculated volume = 32.3 A^3/atom; magnetization = 0.00 μB/atom; SG = R-3m, No. 166
1.0
2.832 1.635 9.287
-2.832 1.635 9.287
0.000 -3.270 9.287
Ba Sr Ca Hg
1 2 1 4
Direct
0.000 0.000 0.000
0.247 0.247 0.247
0.753 0.753 0.753
0.500 0.500 0.500
0.128 0.128 0.128
0.381 0.381 0.381
0.619 0.619 0.619
0.872 0.872 0.872


Record 5
BaSr2CaHg PBE relaxed; electronic total energy = -1.684 eV/atom; Fermi-level density of states = 6.69 states/eV/f.u.; formation energy = -166 meV/atom; calculated volume = 49.8 A^3/atom; magnetization = 0.00 μB/atom; SG = P4/mmm, No. 123
1.0
6.377 0.000 0.000
0.000 6.377 0.000
0.000 0.000 6.122
Ba Sr Ca Hg
1 2 1 1
Direct
0.000 0.000 0.000
0.000 0.500 0.500
0.500 0.000 0.500
0.500 0.500 0.000
0.500 0.500 0.500


Record 6
Ba5Sr2CaHg2 PBE relaxed; electronic total energy = -1.740 eV/atom; Fermi-level density of states = 14.33 states/eV/f.u.; formation energy = -182 meV/atom; calculated volume = 50.8 A^3/atom; magnetization = 0.17 μB/atom; SG = P4/mbm, No. 127
1.0
14.840 0.000 0.000
0.000 14.840 0.000
0.000 0.000 4.609
Ba Sr Ca Hg
10 4 2 4
Direct
0.000 0.500 0.000
0.046 0.216 0.000
0.216 0.954 0.000
0.284 0.454 0.000
0.454 0.716 0.000
0.500 0.000 0.000
0.546 0.284 0.000
0.716 0.546 0.000
0.784 0.046 0.000
0.954 0.784 0.000
0.198 0.698 0.500
0.302 0.198 0.500
0.698 0.802 0.500
0.802 0.302 0.500
0.000 0.000 0.500
0.500 0.500 0.500
0.130 0.370 0.500
0.370 0.870 0.500
0.630 0.130 0.500
0.870 0.630 0.500


Record 7
BaSrCaHg2 PBE relaxed; electronic total energy = -1.629 eV/atom; Fermi-level density of states = 2.81 states/eV/f.u.; formation energy = -387 meV/atom; calculated volume = 38.1 A^3/atom; magnetization = 0.00 μB/atom; SG = P3m1, No. 156
1.0
5.779 0.000 0.000
-2.890 5.005 0.000
0.000 0.000 6.590
Ba Sr Ca Hg
1 1 1 2
Direct
0.000 0.000 0.000
0.667 0.333 0.348
0.333 0.667 0.687
0.333 0.667 0.189
0.667 0.333 0.836


Record 8
BaSrCa2Hg4 PBE relaxed; electronic total energy = -1.615 eV/atom; Fermi-level density of states = 5.93 states/eV/f.u.; formation energy = -513 meV/atom; calculated volume = 31.2 A^3/atom; magnetization = 0.00 μB/atom; SG = R-3m, No. 166
1.0
2.795 1.614 9.212
-2.795 1.614 9.212
0.000 -3.228 9.212
Ba Sr Ca Hg
1 1 2 4
Direct
0.000 0.000 0.000
0.500 0.500 0.500
0.248 0.248 0.248
0.752 0.752 0.752
0.127 0.127 0.127
0.379 0.379 0.379
0.621 0.621 0.621
0.873 0.873 0.873


Record 9
BaCaZnHg PBE relaxed; electronic total energy = -1.718 eV/atom; Fermi-level density of states = 3.42 states/eV/f.u.; formation energy = -343 meV/atom; calculated volume = 30.8 A^3/atom; magnetization = 0.00 μB/atom; SG = P4mm, No. 99
1.0
3.985 0.000 0.000
0.000 3.985 0.000
0.000 0.000 7.762
Ba Ca Zn Hg
1 1 1 1
Direct
0.000 0.000 0.000
0.000 0.000 0.489
0.500 0.500 0.281
0.500 0.500 0.707


Record 10
BaCa2Ho PBE relaxed; electronic total energy = -2.447 eV/atom; Fermi-level density of states = 6.75 states/eV/f.u.; formation energy = 179 meV/atom; calculated volume = 42.0 A^3/atom; magnetization = 0.00 μB/atom; SG = Fm-3m, No. 225
1.0
0.000 4.380 4.380
4.380 0.000 4.380
4.380 4.380 0.000
Ba Ca Ho
1 2 1
Direct
0.000 0.000 0.000
0.250 0.250 0.250
0.750 0.750 0.750
0.500 0.500 0.500


Record 11
BaCaHo PBE relaxed; electronic total energy = -2.641 eV/atom; Fermi-level density of states = 4.75 states/eV/f.u.; formation energy = 193 meV/atom; calculated volume = 41.7 A^3/atom; magnetization = 0.00 μB/atom; SG = P3m1, No. 156
1.0
3.871 0.000 0.000
-1.935 3.352 0.000
0.000 0.000 9.651
Ba Ca Ho
1 1 1
Direct
0.000 0.000 0.000
0.333 0.667 0.637
0.667 0.333 0.332


Record 12
BaCa2Ho PBE relaxed; electronic total energy = -2.475 eV/atom; Fermi-level density of states = 6.72 states/eV/f.u.; formation energy = 151 meV/atom; calculated volume = 42.0 A^3/atom; magnetization = 0.12 μB/atom; SG = R3m, No. 160
1.0
1.940 1.120 12.886
-1.940 1.120 12.886
0.000 -2.240 12.886
Ba Ca Ho
1 2 1
Direct
0.000 0.000 0.000
0.243 0.243 0.243
0.423 0.423 0.423
0.833 0.833 0.833